[1]
Computed, not measured: a relaxed structure of Tb3Ga2BIr3 at the PBE level of DFT.

Cell: 7.1545 7.1545 3.6085 Å, 90.00 90.00 120.00°
Closest atoms and distances in Å follow each position.
Atoms (fractional coordinates):
Tb  0.0000  0.6186  0.0000  1 B 2.73, 4 Ga 2.87, 4 Ir 2.98
Tb  0.3814  0.3814  0.0000  1 B 2.73, 4 Ga 2.87, 4 Ir 2.98
Tb  0.6186  0.0000  0.0000  1 B 2.73, 4 Ga 2.87, 4 Ir 2.98
Ga  0.3333  0.6667  0.5000  3 Ir 2.86, 6 Tb 2.87
Ga  0.6667  0.3333  0.5000  3 Ir 2.86, 6 Tb 2.87
B  0.0000  0.0000  0.0000  6 Ir 2.41
Ir  0.0000  0.2243  0.5000  2 B 2.41
Ir  0.2243  0.0000  0.5000  2 B 2.41
Ir  0.7757  0.7757  0.5000  2 B 2.41

Values from the calculation:
- N(E_F) (states/eV per atom) = 0.456
- energy relative to the elements (eV per atom) = -0.648
- uncorrected energy (eV per cell) = -59.041
- calculated volume (Å³/f.u.) = 159.96
- space-group type = P-62m (189)
- ρ (g cm⁻³) = 12.50


[2]
Computed, not measured: a relaxed structure of Th2Ga2BIr4 at the PBE level of DFT.

Cell: 6.2132 6.2132 6.2132 Å, 122.09 122.09 86.42°
Closest atoms and distances in Å follow each position.
Atoms (fractional coordinates):
Th  0.2500  0.7500  0.5000  8 Ir 3.11, 4 Ga 3.11
Th  0.7500  0.2500  0.5000  8 Ir 3.11, 4 Ga 3.11
Ga  0.1614  0.1614  0.0000  4 Ir 2.61, 1 Ga 2.92
Ga  0.8386  0.8386  0.0000  4 Ir 2.61, 1 Ga 2.92
B  0.5000  0.5000  0.0000  4 Ir 2.09
Ir  0.2548  0.2548  0.5096  1 B 2.09
Ir  0.2548  0.7452  0.0000  1 B 2.09
Ir  0.7452  0.2548  0.0000  1 B 2.09
Ir  0.7452  0.7452  0.4904  1 B 2.09

Values from the calculation:
- N(E_F) (states/eV per atom) = 0.227
- energy relative to the elements (eV per atom) = -0.633
- uncorrected energy (eV per cell) = -68.713
- calculated volume (Å³/f.u.) = 163.91
- space-group type = I4/mmm (139)
- ρ (g cm⁻³) = 14.01


[3]
Computed, not measured: a relaxed structure of Th4GaB3Ir12 at the PBE level of DFT.

Cell: 7.6088 7.6088 7.6088 Å, 109.47 109.47 109.47°
Closest atoms and distances in Å follow each position.
Atoms (fractional coordinates):
Th  0.0000  0.0000  0.5000  12 Ir 3.11
Th  0.0000  0.5000  0.0000  12 Ir 3.11
Th  0.5000  0.0000  0.0000  12 Ir 3.11
Th  0.5000  0.5000  0.5000  12 Ir 3.11
Ga  0.0000  0.0000  0.0000  6 Ir 2.39
B  0.0000  0.5000  0.5000  6 Ir 2.01-2.20
B  0.5000  0.0000  0.5000  6 Ir 2.01-2.20
B  0.5000  0.5000  0.0000  6 Ir 2.01-2.20
Ir  0.0000  0.2717  0.2717  1 B 2.01
Ir  0.0000  0.7283  0.7283  1 B 2.01
Ir  0.2500  0.5000  0.7500  2 B 2.20
Ir  0.2500  0.7500  0.5000  2 B 2.20
Ir  0.2717  0.0000  0.2717  1 B 2.01
Ir  0.2717  0.2717  0.0000  1 B 2.01
Ir  0.5000  0.2500  0.7500  2 B 2.20
Ir  0.5000  0.7500  0.2500  2 B 2.20
Ir  0.7283  0.0000  0.7283  1 B 2.01
Ir  0.7283  0.7283  0.0000  1 B 2.01
Ir  0.7500  0.2500  0.5000  2 B 2.20
Ir  0.7500  0.5000  0.2500  2 B 2.20

Values from the calculation:
- N(E_F) (states/eV per atom) = 0.083
- energy relative to the elements (eV per atom) = -0.559
- uncorrected energy (eV per cell) = -170.246
- calculated volume (Å³/f.u.) = 339.10
- space-group type = Im-3m (229)
- ρ (g cm⁻³) = 16.34


[4]
Computed, not measured: a relaxed structure of Th2GaBIr6 at the PBE level of DFT.

Cell: 5.6974 8.5997 7.2924 Å, 90.00 90.00 90.00°
Closest atoms and distances in Å follow each position.
Atoms (fractional coordinates):
Th  0.2500  0.0323  0.2061  9 Ir 2.94-3.21
Th  0.2500  0.4677  0.2061  9 Ir 2.94-3.21
Th  0.7500  0.5323  0.7939  9 Ir 2.94-3.21
Th  0.7500  0.9677  0.7939  9 Ir 2.94-3.21
Ga  0.2500  0.7500  0.8204  6 Ir 2.48-2.64
Ga  0.7500  0.2500  0.1796  6 Ir 2.48-2.64
B  0.2500  0.2500  0.6884  6 Ir 2.09-2.16
B  0.7500  0.7500  0.3116  6 Ir 2.09-2.16
Ir  0.0051  0.2500  0.9033  1 B 2.10
Ir  0.0162  0.7500  0.5085  1 B 2.09
Ir  0.2500  0.0043  0.6301  1 B 2.16
Ir  0.2500  0.4957  0.6301  1 B 2.16
Ir  0.4838  0.7500  0.5085  1 B 2.09
Ir  0.4949  0.2500  0.9033  1 B 2.10
Ir  0.5051  0.7500  0.0967  1 B 2.10
Ir  0.5162  0.2500  0.4915  1 B 2.09
Ir  0.7500  0.5043  0.3699  1 B 2.16
Ir  0.7500  0.9957  0.3699  1 B 2.16
Ir  0.9838  0.2500  0.4915  1 B 2.09
Ir  0.9949  0.7500  0.0967  1 B 2.10

Values from the calculation:
- N(E_F) (states/eV per atom) = 0.650
- energy relative to the elements (eV per atom) = -0.612
- uncorrected energy (eV per cell) = -167.657
- calculated volume (Å³/f.u.) = 178.65
- space-group type = Pmmn (59)
- ρ (g cm⁻³) = 15.78


[5]
Computed, not measured: a relaxed structure of Th3GaB2Ir9 at the PBE level of DFT.

Cell: 5.8512 5.8512 8.7980 Å, 90.00 90.00 120.00°
Closest atoms and distances in Å follow each position.
Atoms (fractional coordinates):
Th  0.0000  0.0000  0.0000  12 Ir 2.93-2.99
Th  0.3333  0.6667  0.6211  6 Ir 3.05
Th  0.6667  0.3333  0.3789  6 Ir 3.05
Ga  0.0000  0.0000  0.5000  6 Ir 2.53
B  0.3333  0.6667  0.1485  6 Ir 2.09-2.14
B  0.6667  0.3333  0.8515  6 Ir 2.09-2.14
Ir  0.0000  0.5000  0.0000  2 B 2.14
Ir  0.1631  0.3261  0.2826  1 B 2.09
Ir  0.1631  0.8369  0.2826  1 B 2.09
Ir  0.3261  0.1631  0.7174  1 B 2.09
Ir  0.5000  0.0000  0.0000  2 B 2.14
Ir  0.5000  0.5000  0.0000  2 B 2.14
Ir  0.6739  0.8369  0.2826  1 B 2.09
Ir  0.8369  0.1631  0.7174  1 B 2.09
Ir  0.8369  0.6739  0.7174  1 B 2.09

Values from the calculation:
- N(E_F) (states/eV per atom) = 0.616
- energy relative to the elements (eV per atom) = -0.586
- uncorrected energy (eV per cell) = -127.175
- calculated volume (Å³/f.u.) = 260.85
- space-group type = P-3m1 (164)
- ρ (g cm⁻³) = 16.03


[6]
Computed, not measured: a relaxed structure of TiGaBIr2 at the PBE level of DFT.

Cell: 4.6822 4.6822 3.7236 Å, 90.00 90.00 90.00°
Closest atoms and distances in Å follow each position.
Atoms (fractional coordinates):
Ti  0.0000  0.0000  0.0000  8 Ir 2.99, 4 B 3.31
Ga  0.5000  0.5000  0.5000  2 B 1.86
B  0.5000  0.5000  0.0000  2 Ga 1.86
Ir  0.0000  0.5000  0.5000  2 Ga 2.34
Ir  0.5000  0.0000  0.5000  2 Ga 2.34

Values from the calculation:
- N(E_F) (states/eV per atom) = 1.527
- energy relative to the elements (eV per atom) = 1.079
- uncorrected energy (eV per cell) = -29.924
- calculated volume (Å³/f.u.) = 81.63
- space-group type = P4/mmm (123)
- ρ (g cm⁻³) = 10.43


[7]
Computed, not measured: a relaxed structure of U2GaB2Ir5 at the PBE level of DFT.

Cell: 9.4389 9.4389 3.3566 Å, 90.00 90.00 90.00°
Closest atoms and distances in Å follow each position.
Atoms (fractional coordinates):
U  0.1785  0.3215  0.0000  3 B 2.67-2.88, 6 Ir 2.91-2.94
U  0.3215  0.8215  0.0000  3 B 2.67-2.88, 6 Ir 2.91-2.94
U  0.6785  0.1785  0.0000  3 B 2.67-2.88, 6 Ir 2.91-2.94
U  0.8215  0.6785  0.0000  3 B 2.67-2.88, 6 Ir 2.91-2.94
Ga  0.0000  0.0000  0.0000  8 Ir 2.74
Ga  0.5000  0.5000  0.0000  8 Ir 2.74
B  0.1216  0.6216  0.0000  6 Ir 2.31-2.33
B  0.3784  0.1216  0.0000  6 Ir 2.31-2.33
B  0.6216  0.8784  0.0000  6 Ir 2.31-2.33
B  0.8784  0.3784  0.0000  6 Ir 2.31-2.33
Ir  0.0000  0.5000  0.5000  4 B 2.33
Ir  0.0693  0.7811  0.5000  2 B 2.31
Ir  0.2189  0.0693  0.5000  2 B 2.31
Ir  0.2811  0.5693  0.5000  2 B 2.31
Ir  0.4307  0.2811  0.5000  2 B 2.31
Ir  0.5000  0.0000  0.5000  4 B 2.33
Ir  0.5693  0.7189  0.5000  2 B 2.31
Ir  0.7189  0.4307  0.5000  2 B 2.31
Ir  0.7811  0.9307  0.5000  2 B 2.31
Ir  0.9307  0.2189  0.5000  2 B 2.31

Values from the calculation:
- N(E_F) (states/eV per atom) = 1.262
- energy relative to the elements (eV per atom) = -0.437
- uncorrected energy (eV per cell) = -175.272
- calculated volume (Å³/f.u.) = 149.53
- space-group type = P4/mbm (127)
- ρ (g cm⁻³) = 16.97


[8]
Computed, not measured: a relaxed structure of VGaB2Ir at the PBE level of DFT.

Cell: 3.9205 3.9205 4.5957 Å, 90.00 90.00 90.00°
Closest atoms and distances in Å follow each position.
Atoms (fractional coordinates):
V  0.0000  0.0000  0.0000  4 B 1.96
Ga  0.0000  0.0000  0.5000  2 V 2.30
B  0.0000  0.5000  0.0000  2 V 1.96
B  0.5000  0.0000  0.0000  2 V 1.96
Ir  0.5000  0.5000  0.5000  4 Ga 2.77, 8 B 3.02

Values from the calculation:
- N(E_F) (states/eV per atom) = 0.648
- energy relative to the elements (eV per atom) = 1.439
- uncorrected energy (eV per cell) = -27.165
- calculated volume (Å³/f.u.) = 70.64
- space-group type = P4/mmm (123)
- ρ (g cm⁻³) = 7.86


[9]
Computed, not measured: a relaxed structure of Zr2GaB2Ir5 at the PBE level of DFT.

Cell: 9.2820 9.2820 3.2627 Å, 90.00 90.00 90.00°
Closest atoms and distances in Å follow each position.
Atoms (fractional coordinates):
Zr  0.1760  0.3240  0.0000  3 B 2.64-2.82, 6 Ir 2.83-2.89
Zr  0.3240  0.8240  0.0000  3 B 2.64-2.82, 6 Ir 2.83-2.89
Zr  0.6760  0.1760  0.0000  3 B 2.64-2.82, 6 Ir 2.83-2.89
Zr  0.8240  0.6760  0.0000  3 B 2.64-2.82, 6 Ir 2.83-2.89
Ga  0.0000  0.0000  0.0000  8 Ir 2.67
Ga  0.5000  0.5000  0.0000  8 Ir 2.67
B  0.1226  0.6226  0.0000  6 Ir 2.27-2.29
B  0.3774  0.1226  0.0000  6 Ir 2.27-2.29
B  0.6226  0.8774  0.0000  6 Ir 2.27-2.29
B  0.8774  0.3774  0.0000  6 Ir 2.27-2.29
Ir  0.0000  0.5000  0.5000  4 B 2.29
Ir  0.0701  0.7836  0.5000  2 B 2.27
Ir  0.2164  0.0701  0.5000  2 B 2.27
Ir  0.2836  0.5701  0.5000  2 B 2.27
Ir  0.4299  0.2836  0.5000  2 B 2.27
Ir  0.5000  0.0000  0.5000  4 B 2.29
Ir  0.5701  0.7164  0.5000  2 B 2.27
Ir  0.7164  0.4299  0.5000  2 B 2.27
Ir  0.7836  0.9299  0.5000  2 B 2.27
Ir  0.9299  0.2164  0.5000  2 B 2.27

Values from the calculation:
- N(E_F) (states/eV per atom) = 0.253
- energy relative to the elements (eV per atom) = -0.733
- uncorrected energy (eV per cell) = -170.235
- calculated volume (Å³/f.u.) = 140.55
- space-group type = P4/mbm (127)
- ρ (g cm⁻³) = 14.59


[10]
Computed, not measured: a relaxed structure of KGa3B at the PBE level of DFT.

Cell: 5.7529 5.7529 5.7529 Å, 90.00 90.00 90.00°
Closest atoms and distances in Å follow each position.
Atoms (fractional coordinates):
K  0.0000  0.0000  0.0000  6 Ga 2.88
Ga  0.0000  0.0000  0.5000  2 K 2.88
Ga  0.0000  0.5000  0.0000  2 K 2.88
Ga  0.5000  0.0000  0.0000  2 K 2.88
B  0.5000  0.5000  0.5000  12 Ga 4.07

Values from the calculation:
- N(E_F) (states/eV per atom) = 1.329
- energy relative to the elements (eV per atom) = 1.975
- uncorrected energy (eV per cell) = -6.980
- calculated volume (Å³/f.u.) = 190.39
- space-group type = Pm-3m (221)
- ρ (g cm⁻³) = 2.26